# 1
11
Lattice="-2.4502 2.8491 1.5745 1.7994 -2.5425 7.4010 7.6895 6.7872 -0.3157" Properties=species:S:1:pos:R:3 comment="Ac4Mg5Ru2 (PBE-GGA, optimized geometry)" m_tot_mub_per_fu=0.00 formation_enthalpy_0k_ev_per_atom=-0.0632 pbc="T T T"
Ru 5.1272 4.2310 0.3225
Mg 6.0274 3.5000 3.0461
Mg 7.9046 3.6250 5.7412
Ac 4.4361 3.1611 6.4547
Mg 0.8997 -1.2713 3.7005
Mg 3.4615 0.7446 4.0392
Ac 1.4655 0.3596 6.9013
Ru 4.3617 0.0136 6.7628
Mg 1.5842 0.6196 1.3441
Ac 2.6026 3.9327 2.2051
Ac 5.5732 6.7342 1.7584


# 2
5
Lattice="-3.8436 3.8575 -2.5409 0.4313 -2.3806 -4.2665 -4.5888 -3.5669 1.5264" Properties=species:S:1:pos:R:3 comment="CoSbSI2 (PBE-GGA, optimized geometry)" m_tot_mub_per_fu=1.95 relative_energy_ev_per_atom=0.368 e_form_raw_kj_per_mol_atoms=94.0 pbc="T T T"
I -1.9218 1.9287 -1.2704
Co 0.2156 -1.1903 -2.1333
S -4.0006 -1.0450 -2.6405
I -2.2944 -1.7835 0.7632
Sb 0.0000 0.0000 0.0000


# 3
4
Lattice="5.0686 0.0040 0.0000 -0.7974 5.0055 0.0000 0.0000 0.0000 3.6194" Properties=species:S:1:pos:R:3 comment="CdTe2Mo (PBE-GGA, optimized geometry)" m_tot_mub_per_fu=2.05 e_form_raw_kj_per_mol_atoms=50.7 pbc="T T T"
Te 0.0000 0.0000 0.0000
Mo -0.3987 2.5028 1.8097
Te 2.1356 2.5047 0.0000
Cd 2.5343 0.0020 1.8097


# 4
12
Lattice="7.0767 0.0000 0.0000 -3.5384 6.1242 0.0000 0.0000 0.0000 7.3172" Properties=species:S:1:pos:R:3 comment="LaHoFe (PBE-GGA, optimized geometry)" m_tot_mub_per_fu=0.83 relative_energy_ev_per_atom=0.000 formation_enthalpy_0k_ev_per_atom=0.0507 pbc="T T T"
Ho 1.7692 5.6617 5.4879
La 3.5384 2.4446 6.4754
Fe 3.5384 1.1100 3.9572
Ho 5.3075 0.4625 1.8293
Ho -1.7692 5.6617 5.4879
La 0.0000 2.4446 4.5005
La 3.5384 3.6796 2.8168
Fe 0.0000 1.1100 7.0187
Ho 1.7692 0.4625 1.8293
Fe 0.0000 5.0142 3.3601
Fe 3.5384 5.0142 0.2986
La 0.0000 3.6796 0.8419


# 5
4
Lattice="-2.4234 1.6594 1.5112 -0.9339 -2.7679 1.5416 3.6407 1.2554 4.4597" Properties=species:S:1:pos:R:3 comment="LiZrIrPd (PBE-GGA, optimized geometry)" m_tot_mub_per_fu=0.00 formation_enthalpy_0k_ev_per_atom=-0.6297 pbc="T T T"
Li 3.1144 1.0739 3.8150
Pd 0.6055 0.2334 4.3243
Ir -1.3116 -0.4277 1.9760
Zr 1.2536 0.4323 1.5355


# 6
5
Lattice="4.9148 0.0000 0.0000 0.0000 4.9148 0.0000 0.0000 0.0000 3.8294" Properties=species:S:1:pos:R:3 comment="HfScP2O (PBE-GGA, optimized geometry)" m_tot_mub_per_fu=0.00 relative_energy_ev_per_atom=0.440 e_form_raw_kj_per_mol_atoms=-56.6 pbc="T T T"
P 0.0000 2.4574 0.0000
Sc 0.0000 0.0000 0.0000
O 0.0000 0.0000 1.9147
Hf 2.4574 2.4574 1.9147
P 2.4574 0.0000 0.0000


# 7
5
Lattice="3.8617 0.0000 0.0000 0.0000 5.4641 0.0000 0.0000 0.0000 3.8617" Properties=species:S:1:pos:R:3 comment="MnTcBrN2 (PBE-GGA, optimized geometry)" m_tot_mub_per_fu=4.75 e_form_raw_kj_per_mol_atoms=69.7 pbc="T T T"
Tc 0.0000 0.0000 0.0000
Mn 1.9309 2.7320 1.9309
N 1.9309 0.0000 0.0000
N 0.0000 0.0000 1.9309
Br 0.0000 2.7320 0.0000


# 8
16
Lattice="7.1444 0.0000 -3.3726 -1.5920 6.9648 -3.3726 0.1614 0.2024 9.5955" Properties=species:S:1:pos:R:3 comment="La5Ga2Ag (PBE-GGA, optimized geometry)" m_tot_mub_per_fu=0.00 formation_enthalpy_0k_ev_per_atom=-0.3539 pbc="T T T"
La 6.2522 3.3617 -2.0777
La 0.0000 0.0000 0.0000
Ga 1.3327 6.1527 -4.2723
La 1.0188 5.7589 -1.0267
La 4.3430 6.8441 -3.2385
La 1.3708 0.3231 6.0889
Ga 4.2197 0.8122 -2.4728
La 4.6949 1.4083 3.8771
La 2.7762 3.4824 -3.3726
Ag 4.2450 5.3248 -0.2611
La 2.7857 4.8907 2.7163
Ag 1.4688 1.8424 3.1115
La -0.5384 3.8055 4.9281
La 2.9281 2.2765 0.1341
Ga 0.2227 2.6703 -1.6863
Ga 5.3297 4.2946 -5.0588